[1]
Compound: LaZnCu2
Source: the Alexandria database
Functional: GGA-PBE
Structure: relaxed

Properties
- ΔE_f: -0.08 eV/atom
- V: 21.220 Å³ per atom
- DOS(E_F): 0.619 states/eV/atom
- Total magnetic moment: 0.00 Bohr magnetons per cell
- E: -3.6806 eV per atom

Cell lengths 3.927, 4.440, 4.868 Å; angles 90.00, 90.00, 90.00 degrees
Space group Pmm2 (No. 25)
Symmetry-distinct sites (fractional):
La  0.000  0.000  0.000
Zn  0.500  0.500  0.710
Cu  0.500  0.000  0.480
Cu  0.500  0.500  0.217



[2]
Compound: Pm2ZrNi
Source: the Alexandria database
Functional: GGA-PBE
Structure: relaxed

Properties
- ΔE_f: -0.02 eV/atom
- Energy above the lowest structure with this stoichiometry: 0 meV/atom
- V: 24.564 Å³ per atom
- DOS(E_F): 1.230 states/eV/atom
- Total magnetic moment: 0.00 Bohr magnetons per cell
- E: -5.9761 eV per atom

Cell lengths 3.492, 3.492, 8.059 Å; angles 90.00, 90.00, 90.00 degrees
Space group P4/mmm (No. 123)
Symmetry-distinct sites (fractional):
Pm  0.000  0.000  0.210
Zr  0.500  0.500  0.500
Ni  0.500  0.500  0.000



[3]
Compound: TlBr2Cl
Source: the Alexandria database
Functional: GGA-PBE
Structure: relaxed

Properties
- Energy above the lowest structure with this stoichiometry: 0 meV/atom
- Formation energy (no corrections): -0.50 eV/atom
- V: 33.214 Å³ per atom
- Total magnetic moment: 0.00 Bohr magnetons per cell
- E: -2.3933 eV per atom

Cell lengths 6.913, 6.540, 11.754 Å; angles 90.00, 90.00, 90.00 degrees
Space group Pnna (No. 52)
Symmetry-distinct sites (fractional):
Tl  0.250  0.000  0.098
Br  0.068  0.239  0.917
Cl  0.082  0.250  0.250



[4]
Compound: MgAgBiMo2
Source: the Alexandria database
Functional: GGA-PBE
Structure: relaxed

Properties
- ΔE_f: 1.42 eV/atom
- V: 24.812 Å³ per atom
- DOS(E_F): 0.646 states/eV/atom
- Total magnetic moment: 5.24 Bohr magnetons per cell
- E: -4.5748 eV per atom

Cell lengths 5.090, 5.090, 4.789 Å; angles 90.00, 90.00, 90.00 degrees
Space group P4/mmm (No. 123)
Symmetry-distinct sites (fractional):
Mg  0.000  0.000  0.000
Ag  0.000  0.000  0.500
Bi  0.500  0.500  0.000
Mo  0.000  0.500  0.500



[5]
Compound: Be4CrAu
Source: the Alexandria database
Functional: GGA-PBE
Structure: relaxed

Properties
- ΔE_f: -0.04 eV/atom
- V: 10.575 Å³ per atom
- DOS(E_F): 0.366 states/eV/atom
- Total magnetic moment: 16.26 Bohr magnetons per cell
- E: -4.6787 eV per atom

Cell lengths 6.331, 6.331, 6.331 Å; angles 90.00, 90.00, 90.00 degrees
Space group F-43m (No. 216)
Symmetry-distinct sites (fractional):
Be  0.125  0.125  0.125
Cr  0.250  0.250  0.750
Au  0.000  0.000  0.500



[6]
Compound: Tl2SiBS4
Source: the Alexandria database
Functional: GGA-PBE
Structure: relaxed

Properties
- Formation energy (no corrections): -0.40 eV/atom
- V: 28.649 Å³ per atom
- DOS(E_F): 0.154 states/eV/atom
- Total magnetic moment: 0.00 Bohr magnetons per cell
- E: -4.5685 eV per atom

Cell lengths 5.422, 12.501, 27.052 Å; angles 90.00, 90.00, 90.00 degrees
Space group Fddd (No. 70, origin choice 2)
Symmetry-distinct sites (fractional):
Tl  0.125  0.125  0.261
Si  0.125  0.125  0.625
B  0.125  0.125  0.125
S  0.100  0.287  0.414